(one)
VASP calculation (PBE) on a geometry-optimized Zn2Cu8Si structure.

Lattice parameters (Å, degrees): 6.469 11.721 4.252 90.00 116.76 90.00
Space group C2/m (No. 12)
Symmetry-distinct sites (fractional):
Zn  0.000  0.197  0.000
Cu  0.000  0.300  0.500
Cu  0.101  0.000  0.308
Cu  0.213  0.390  0.144
Si  0.000  0.500  0.500

(two)
VASP calculation (PBE) on a geometry-optimized Zn2Cu8Si structure.

Lattice parameters (Å, degrees): 13.104 3.712 5.817 90.00 106.17 90.00
Space group C2/m (No. 12)
Symmetry-distinct sites (fractional):
Zn  0.222  0.000  0.141
Cu  0.043  0.000  0.227
Cu  0.089  0.500  0.942
Cu  0.136  0.000  0.676
Cu  0.178  0.500  0.412
Si  0.000  0.500  0.500

What should be chosen as the most stable of them? Choose (two).

(one)
VASP calculation (PBE) on a geometry-optimized Zn2Cu6Si structure.

Lattice parameters (Å, degrees): 11.456 4.887 4.398 90.00 103.12 90.00
Space group C2/m (No. 12)
Symmetry-distinct sites (fractional):
Zn  0.076  0.000  0.298
Cu  0.145  0.247  0.857
Cu  0.199  0.500  0.391
Si  0.000  0.500  0.500

(two)
VASP calculation (PBE) on a geometry-optimized Zn2Cu6Si structure.

Lattice parameters (Å, degrees): 11.256 3.554 5.929 90.00 109.25 90.00
Space group C2/m (No. 12)
Symmetry-distinct sites (fractional):
Zn  0.118  0.000  0.171
Cu  0.054  0.500  0.832
Cu  0.160  0.500  0.502
Cu  0.220  0.000  0.830
Si  0.000  0.000  0.500

What should be chosen as the most stable of them? Choose (two).

(one)
VASP calculation (PBE) on a geometry-optimized Zr2Cu2Si structure.

Lattice parameters (Å, degrees): 3.265 3.265 16.385 90.00 90.00 90.00
Space group I4/mmm (No. 139)
Symmetry-distinct sites (fractional):
Zr  0.000  0.000  0.106
Cu  0.000  0.500  0.250
Si  0.000  0.000  0.500

(two)
VASP calculation (PBE) on a geometry-optimized Zr2Cu2Si structure.

Lattice parameters (Å, degrees): 6.373 6.373 4.111 90.00 90.00 90.00
Space group P4/mbm (No. 127)
Symmetry-distinct sites (fractional):
Zr  0.171  0.329  0.000
Cu  0.135  0.635  0.500
Si  0.000  0.000  0.500

What should be chosen as the most stable of them? Choose (two).

(one)
VASP calculation (PBE) on a geometry-optimized Zr4CuSi structure.

Lattice parameters (Å, degrees): 6.684 6.684 5.230 90.00 90.00 90.00
Space group P4/mcc (No. 124)
Symmetry-distinct sites (fractional):
Zr  0.154  0.343  0.000
Cu  0.500  0.500  0.250
Si  0.000  0.000  0.250

(two)
VASP calculation (PBE) on a geometry-optimized Zr4CuSi structure.

Lattice parameters (Å, degrees): 7.942 7.942 7.942 90.00 90.00 90.00
Space group F-43m (No. 216)
Symmetry-distinct sites (fractional):
Zr  0.125  0.125  0.125
Cu  0.250  0.250  0.750
Si  0.000  0.000  0.500

What should be chosen as the most stable of them? Choose (one).

(one)
VASP calculation (PBE) on a geometry-optimized Sm3Cu2 structure.

Lattice parameters (Å, degrees): 3.553 3.553 19.462 90.00 90.00 90.00
Space group P4/mmm (No. 123)
Symmetry-distinct sites (fractional):
Sm  0.000  0.000  0.000
Sm  0.000  0.000  0.183
Sm  0.000  0.000  0.364
Sm  0.500  0.500  0.500
Cu  0.500  0.500  0.092
Cu  0.500  0.500  0.274

(two)
VASP calculation (PBE) on a geometry-optimized Sm3Cu2 structure.

Lattice parameters (Å, degrees): 3.548 3.548 19.598 90.00 90.00 90.00
Space group I4/mmm (No. 139)
Symmetry-distinct sites (fractional):
Sm  0.000  0.000  0.000
Sm  0.000  0.000  0.180
Cu  0.000  0.000  0.410

What should be chosen as the most stable of them? Choose (one).

(one)
VASP calculation (PBE) on a geometry-optimized SmCu9Sn2 structure.

Lattice parameters (Å, degrees): 5.1099 5.1099 24.4356 90.00 90.00 120.00
Space group R-3m (No. 166, hexagonal axes)
Symmetry-distinct sites (fractional):
Sm  0.0000  0.0000  0.0000
Cu  0.0000  0.0000  0.3339
Cu  0.0000  0.0000  0.5000
Cu  0.0031  0.5015  0.9162
Sn  0.0000  0.0000  0.1397

(two)
VASP calculation (PBE) on a geometry-optimized SmCu9Sn2 structure.

Lattice parameters (Å, degrees): 8.515 8.515 5.010 90.00 90.00 90.00
Space group P4/mbm (No. 127)
Symmetry-distinct sites (fractional):
Sm  0.000  0.000  0.000
Cu  0.000  0.500  0.500
Cu  0.066  0.204  0.500
Cu  0.172  0.672  0.246
Sn  0.130  0.370  0.000

What should be chosen as the most stable of them? Choose (two).

(one)
VASP calculation (PBE) on a geometry-optimized SrSmCu4 structure.

Lattice parameters (Å, degrees): 7.658 7.658 7.658 90.00 90.00 90.00
Space group F-43m (No. 216)
Symmetry-distinct sites (fractional):
Sr  0.000  0.000  0.000
Sm  0.250  0.250  0.250
Cu  0.125  0.125  0.625

(two)
VASP calculation (PBE) on a geometry-optimized SrSmCu4 structure.

Lattice parameters (Å, degrees): 3.929 4.276 7.445 90.00 90.00 90.00
Space group Pmmm (No. 47)
Symmetry-distinct sites (fractional):
Sr  0.000  0.000  0.000
Sm  0.000  0.500  0.500
Cu  0.500  0.000  0.339
Cu  0.500  0.500  0.174

What should be chosen as the most stable of them? Choose (two).

(one)
VASP calculation (PBE) on a geometry-optimized SrSm2Cu structure.

Lattice parameters (Å, degrees): 3.8573 3.8573 32.9066 90.00 90.00 120.00
Space group R-3m (No. 166, hexagonal axes)
Symmetry-distinct sites (fractional):
Sr  0.0000  0.0000  0.0000
Sm  0.0000  0.0000  0.1123
Cu  0.0000  0.0000  0.5000

(two)
VASP calculation (PBE) on a geometry-optimized SrSm2Cu structure.

Lattice parameters (Å, degrees): 3.670 3.670 9.594 90.00 90.00 90.00
Space group P4/mmm (No. 123)
Symmetry-distinct sites (fractional):
Sr  0.000  0.000  0.000
Sm  0.500  0.500  0.331
Cu  0.000  0.000  0.500

What should be chosen as the most stable of them? Choose (two).